1.
Density functional theory data (PBE) for SiHgCl after structural relaxation.

```
SiHgCl
1.0
0.000 3.372 3.372
3.372 0.000 3.372
3.372 3.372 0.000
Si Hg Cl
1 1 1
Direct
0.000 0.000 0.000
0.750 0.750 0.750
0.250 0.250 0.250
```

Values from the calculation:
E above lowest polymorph, kJ per mole of atoms: 48.5
Final energy, eV/atom: -2.1774
Energy relative to the elements, uncorrected, meV/atom: 346
Total magnetic moment, μB per formula unit: 0.0

=====

2.
Density functional theory data (PBE) for LaPm2F8 after structural relaxation.

```
LaPm2F8
1.0
-1.938 3.349 5.615
1.938 -3.349 5.615
1.938 3.349 -5.615
La Pm F
1 2 8
Direct
0.000 0.000 0.000
0.314 0.314 0.000
0.686 0.686 0.000
0.125 0.837 0.287
0.151 0.651 0.500
0.310 0.500 0.810
0.450 0.163 0.287
0.550 0.837 0.713
0.690 0.500 0.190
0.849 0.349 0.500
0.875 0.163 0.713
```

Values from the calculation:
E above lowest polymorph, kJ per mole of atoms: 7.9
Final energy, eV/atom: -6.5026
Energy relative to the elements, uncorrected, meV/atom: -3830
Total magnetic moment, μB per formula unit: 0.5

=====

3.
Density functional theory data (PBE) for SmHClF after structural relaxation.

```
SmHClF
1.0
-1.903 1.939 5.225
1.903 -1.939 5.225
1.903 1.939 -5.225
Sm H Cl F
1 1 1 1
Direct
0.000 0.000 0.000
0.910 0.410 0.500
0.637 0.637 0.000
0.396 0.896 0.500
```

Values from the calculation:
Final energy, eV/atom: -5.0937
Total magnetic moment, μB per formula unit: 0.0

=====

4.
Density functional theory data (PBE) for Pr5Y2Er3 after structural relaxation.

```
Pr5Y2Er3
1.0
5.374 -7.409 0.000
5.374 7.409 0.000
-5.373 0.000 8.648
Pr Y Er
10 4 6
Direct
0.019 0.981 0.750
0.132 0.373 0.752
0.230 0.770 0.750
0.270 0.730 0.250
0.373 0.132 0.252
0.627 0.868 0.748
0.730 0.270 0.750
0.770 0.230 0.250
0.868 0.627 0.248
0.981 0.019 0.250
0.225 0.467 0.441
0.467 0.225 0.941
0.533 0.775 0.059
0.775 0.533 0.559
0.032 0.280 0.060
0.280 0.032 0.560
0.479 0.521 0.250
0.521 0.479 0.750
0.720 0.968 0.440
0.968 0.720 0.940
```

Values from the calculation:
Final energy, eV/atom: -4.8797
DFT formation energy, eV/atom: 0.17
Total magnetic moment, μB per formula unit: 0.0

=====

5.
Density functional theory data (PBE) for Dy2RuC after structural relaxation.

```
Dy2RuC
1.0
1.722 0.994 8.000
-1.722 0.994 8.000
0.000 -1.989 8.000
Dy Ru C
2 1 1
Direct
0.109 0.109 0.109
0.891 0.891 0.891
0.000 0.000 0.000
0.500 0.500 0.500
```

Values from the calculation:
Final energy, eV/atom: -6.5701
DFT formation energy, eV/atom: 0.36
Total magnetic moment, μB per formula unit: 0.4

=====

6.
Density functional theory data (PBE) for Tb2ZnSi4Rh3 after structural relaxation.

```
Tb2ZnSi4Rh3
1.0
4.109 0.000 0.000
0.000 4.109 0.000
0.000 0.000 10.031
Tb Zn Si Rh
2 1 4 3
Direct
0.000 0.500 0.244
0.500 0.000 0.756
0.000 0.000 0.500
0.000 0.000 0.000
0.000 0.500 0.640
0.500 0.000 0.360
0.500 0.500 0.000
0.000 0.500 0.876
0.500 0.000 0.124
0.500 0.500 0.500
```

Values from the calculation:
Final energy, eV/atom: -6.3186
Energy relative to the elements, uncorrected, meV/atom: -890
Total magnetic moment, μB per formula unit: 0.0

=====

Q: Look up the final energy of the first one.
A: -2.1774 eV/atom